The following is a DFT calculation (PBE) of a relaxed Ac2CdInRh crystal.

Summary:
The energy of formation comes out at -510 meV/atom. The total DFT energy (no corrections) comes out at -4.35 eV/atom.

The structure in CIF format:
```
data_Ac2CdInRh
_symmetry_space_group_name_H-M 'P 1 21/m 1'
_symmetry_Int_Tables_number 11
_symmetry_space_group_name_Hall '-P 2yb'
_cell_length_a 8.430
_cell_length_b 4.400
_cell_length_c 8.562
_cell_angle_alpha 90.00
_cell_angle_beta 110.20
_cell_angle_gamma 90.00
loop_
_atom_site_label
_atom_site_type_symbol
_atom_site_fract_x
_atom_site_fract_y
_atom_site_fract_z
Ac1 Ac 0.106 0.250 0.339
Ac2 Ac 0.283 0.250 0.979
Cd1 Cd 0.437 0.750 0.345
In1 In 0.322 0.750 0.670
Rh1 Rh 0.109 0.750 0.096
```


The following is a DFT calculation (PBE) of a relaxed Na2Hg4F9 crystal.

Summary:
As for the uncorrected formation energy: -1.71 eV/atom. The total DFT energy (no corrections) comes out at -3.09 eV/atom.

The structure in CIF format:
```
data_Na2Hg4F9
_symmetry_space_group_name_H-M 'P -1'
_symmetry_Int_Tables_number 2
_symmetry_space_group_name_Hall '-P 1'
_cell_length_a 6.067
_cell_length_b 6.069
_cell_length_c 15.557
_cell_angle_alpha 89.97
_cell_angle_beta 89.99
_cell_angle_gamma 60.01
loop_
_atom_site_label
_atom_site_type_symbol
_atom_site_fract_x
_atom_site_fract_y
_atom_site_fract_z
Na1 Na 0.000 0.000 0.146
Na2 Na 0.000 0.000 0.354
Hg1 Hg 0.333 0.333 0.029
Hg2 Hg 0.333 0.333 0.307
Hg3 Hg 0.333 0.334 0.529
Hg4 Hg 0.333 0.334 0.807
F1 F 0.000 0.293 0.750
F2 F 0.041 0.327 0.416
F3 F 0.041 0.632 0.916
F4 F 0.293 0.708 0.750
F5 F 0.293 0.999 0.250
F6 F 0.327 0.042 0.916
F7 F 0.328 0.631 0.415
F8 F 0.368 0.672 0.084
F9 F 0.369 0.959 0.584
```


The following is a DFT calculation (PBE) of a relaxed Te2WBr crystal.

Summary:
The value obtained for the energy above the most stable polymorph in this dataset is 0.1015 eV/atom. As for the uncorrected formation energy: 0.17 eV/atom. The total DFT energy (no corrections) comes out at -5.05 eV/atom.

The structure in CIF format:
```
data_Te2WBr
_symmetry_space_group_name_H-M 'P 4/m m m'
_symmetry_Int_Tables_number 123
_symmetry_space_group_name_Hall '-P 4 2'
_cell_length_a 3.262
_cell_length_b 3.262
_cell_length_c 9.709
_cell_angle_alpha 90.00
_cell_angle_beta 90.00
_cell_angle_gamma 90.00
loop_
_atom_site_label
_atom_site_type_symbol
_atom_site_fract_x
_atom_site_fract_y
_atom_site_fract_z
Te1 Te 0.000 0.000 0.177
W1 W 0.500 0.500 0.000
Br1 Br 0.500 0.500 0.500
```


The following is a DFT calculation (PBE) of a relaxed LiHoTmSe3 crystal.

Summary:
As for the uncorrected formation energy: -1.60 eV/atom. The total DFT energy (no corrections) comes out at -5.17 eV/atom.

The structure in CIF format:
```
data_LiHoTmSe3
_symmetry_space_group_name_H-M 'P 1 21/m 1'
_symmetry_Int_Tables_number 11
_symmetry_space_group_name_Hall '-P 2yb'
_cell_length_a 8.255
_cell_length_b 3.917
_cell_length_c 8.688
_cell_angle_alpha 90.00
_cell_angle_beta 102.99
_cell_angle_gamma 90.00
loop_
_atom_site_label
_atom_site_type_symbol
_atom_site_fract_x
_atom_site_fract_y
_atom_site_fract_z
Li1 Li 0.087 0.250 0.084
Ho1 Ho 0.187 0.250 0.724
Tm1 Tm 0.335 0.750 0.335
Se1 Se 0.092 0.250 0.372
Se2 Se 0.228 0.750 0.994
Se3 Se 0.424 0.750 0.672
```


The following is a DFT calculation (PBE) of a relaxed Sb2TeSeI crystal.

Summary:
The value obtained for the energy above the most stable polymorph in this dataset is 0.0499 eV/atom. As for the uncorrected formation energy: 0.61 eV/atom. The total DFT energy (no corrections) comes out at -2.67 eV/atom.

The structure in CIF format:
```
data_Sb2TeSeI
_symmetry_space_group_name_H-M 'P 4/m m m'
_symmetry_Int_Tables_number 123
_symmetry_space_group_name_Hall '-P 4 2'
_cell_length_a 5.657
_cell_length_b 5.657
_cell_length_c 5.310
_cell_angle_alpha 90.00
_cell_angle_beta 90.00
_cell_angle_gamma 90.00
loop_
_atom_site_label
_atom_site_type_symbol
_atom_site_fract_x
_atom_site_fract_y
_atom_site_fract_z
Sb1 Sb 0.000 0.500 0.000
Te1 Te 0.000 0.000 0.500
Se1 Se 0.500 0.500 0.000
I1 I 0.500 0.500 0.500
```


The following is a DFT calculation (PBE) of a relaxed Ho5CuTe2 crystal.

Summary:
As for the uncorrected formation energy: -0.46 eV/atom. The total DFT energy (no corrections) comes out at -4.61 eV/atom.

The structure in CIF format:
```
data_Ho5CuTe2
_symmetry_space_group_name_H-M 'C m c m'
_symmetry_Int_Tables_number 63
_symmetry_space_group_name_Hall '-C 2c 2'
_cell_length_a 5.886
_cell_length_b 12.540
_cell_length_c 12.724
_cell_angle_alpha 90.00
_cell_angle_beta 90.00
_cell_angle_gamma 90.00
loop_
_atom_site_label
_atom_site_type_symbol
_atom_site_fract_x
_atom_site_fract_y
_atom_site_fract_z
Ho1 Ho 0.000 0.056 0.114
Ho2 Ho 0.000 0.369 0.750
Ho3 Ho 0.000 0.387 0.082
Cu1 Cu 0.000 0.229 0.250
Te1 Te 0.000 0.193 0.586
```


The following is a DFT calculation (PBE) of a relaxed YZnPt2 crystal.

Summary:
The energy of formation comes out at -885 meV/atom. The total DFT energy (no corrections) comes out at -5.84 eV/atom.

The structure in CIF format:
```
data_YZnPt2
_symmetry_space_group_name_H-M 'P m m m'
_symmetry_Int_Tables_number 47
_symmetry_space_group_name_Hall '-P 2 2'
_cell_length_a 3.440
_cell_length_b 3.518
_cell_length_c 5.992
_cell_angle_alpha 90.00
_cell_angle_beta 90.00
_cell_angle_gamma 90.00
loop_
_atom_site_label
_atom_site_type_symbol
_atom_site_fract_x
_atom_site_fract_y
_atom_site_fract_z
Y1 Y 0.000 0.000 0.000
Zn1 Zn 0.000 0.000 0.500
Pt1 Pt 0.500 0.500 0.274
```


> Among the records above, which one has the lowest total DFT energy (no corrections)?

YZnPt2


> The highest total DFT energy (no corrections) belongs to which entry?

Sb2TeSeI


> Look up the total DFT energy (no corrections) of the third one.

-5.05 eV/atom


> The highest total DFT energy (no corrections) belongs to which entry?

Sb2TeSeI